# 1
Compound: ScPbSeBr2
Source: Alexandria via LeMat-Bulk
Functional: PBE
Structure: optimized geometry

Properties
* size of the total moment: 1.3 μB/f.u.
* mass density: 4.4 g/cm³
* ΔE_f (raw): -0.102 eV per atom
* electronic total energy: -17.4 eV/cell

abc: 5.6862 5.6862 5.6831
angles: 90.00 90.00 90.00
Closest atoms and distances in Å follow each position.
Space group P4/mmm (No. 123)
Inequivalent atoms, fractional coordinates:
Sc1 0.0000 0.0000 0.0000 [1 per cell]  8 Br 4.02, 4 Se 4.02
Pb1 0.5000 0.5000 0.5000 [1 per cell]  2 Se 2.84, 4 Br 2.84
Se1 0.5000 0.5000 0.0000 [1 per cell]  2 Pb 2.84
Br1 0.0000 0.5000 0.5000 [2 per cell]  2 Pb 2.84


# 2
Compound: RbBePIr2
Source: Alexandria via LeMat-Bulk
Functional: PBE
Structure: optimized geometry

Properties
* size of the total moment: 0.0 μB/f.u.
* mass density: 7.1 g/cm³
* electronic total energy: -22.9 eV/cell
* E_form: 977 meV/atom

abc: 4.4131 4.4131 6.1045
angles: 90.00 90.00 90.00
Closest atoms and distances in Å follow each position.
Space group P4/mmm (No. 123)
Inequivalent atoms, fractional coordinates:
Rb1 0.0000 0.0000 0.0000 [1 per cell]  2 P 3.05, 4 Be 3.12
Be1 0.5000 0.5000 0.0000 [1 per cell]  4 Rb 3.12
P1 0.0000 0.0000 0.5000 [1 per cell]  4 Ir 2.21
Ir1 0.0000 0.5000 0.5000 [2 per cell]  2 P 2.21


# 3
Compound: NaAlTcO5
Source: Alexandria via LeMat-Bulk
Functional: PBE
Structure: optimized geometry

Properties
* size of the total moment: 1.0 μB/f.u.
* mass density: 3.8 g/cm³
* ΔE_f (raw): -1.863 eV per atom
* electronic total energy: -220.5 eV/cell

abc: 6.7266 9.1864 6.8864
angles: 90.00 109.88 90.00
Closest atoms and distances in Å follow each position.
Space group C2/c (No. 15)
Inequivalent atoms, fractional coordinates:
Na1 0.0000 0.1945 0.2500 [4 per cell]  5 O 2.32-2.57
Al1 0.0000 0.5000 0.0000 [4 per cell]  2 O 1.79
Tc1 0.0000 0.1698 0.7500 [4 per cell]  4 O 1.79-1.80
O1 0.0000 0.4469 0.2500 [4 per cell]  2 Al 1.79
O2 0.0944 0.2966 0.6022 [8 per cell]  1 Tc 1.80
O3 0.1892 0.0541 0.9292 [8 per cell]  1 Tc 1.79


# 4
Compound: LiHo3In
Source: Alexandria via LeMat-Bulk
Functional: PBE
Structure: optimized geometry

Properties
* size of the total moment: 0.0 μB/f.u.
* mass density: 7.5 g/cm³
* electronic total energy: -75.7 eV/cell
* E_form: -109 meV/atom

abc: 8.3605 6.7037 10.2982
angles: 90.00 107.86 90.00
Closest atoms and distances in Å follow each position.
Space group P2_1/c (No. 14)
Inequivalent atoms, fractional coordinates:
Li1 0.0073 0.2495 0.0023 [4 per cell]  1 In 2.94, 1 Ho 3.29
Ho1 0.2182 0.0038 0.8046 [4 per cell]  6 Ho 3.30-3.49, 3 In 3.31-3.64, 4 Li 3.49-3.58
Ho2 0.2203 0.0034 0.3056 [4 per cell]  3 In 3.30-3.62, 6 Ho 3.30-3.49, 4 Li 3.50-3.58
Ho3 0.4065 0.7495 0.6017 [4 per cell]  4 In 3.10-3.36, 1 Li 3.29, 6 Ho 3.40-3.43
In1 0.3773 0.2501 0.0945 [4 per cell]  1 Li 2.94, 2 Ho 3.10


# 5
Compound: CuHgHPd2
Source: Alexandria via LeMat-Bulk
Functional: PBE
Structure: optimized geometry

Properties
* size of the total moment: 0.0 μB/f.u.
* mass density: 11.7 g/cm³
* electronic total energy: -17.9 eV/cell

abc: 3.9660 3.9660 4.3023
angles: 90.00 90.00 90.00
Closest atoms and distances in Å follow each position.
Space group P4/mmm (No. 123)
Inequivalent atoms, fractional coordinates:
Cu1 0.0000 0.0000 0.0000 [1 per cell]  4 Hg 2.80, 8 Pd 2.93
Hg1 0.5000 0.5000 0.0000 [1 per cell]  2 H 2.15
H1 0.5000 0.5000 0.5000 [1 per cell]  4 Pd 1.98, 2 Hg 2.15
Pd1 0.0000 0.5000 0.5000 [2 per cell]  2 H 1.98


# 6
Compound: Er2Zn3Ga2
Source: Alexandria via LeMat-Bulk
Functional: PBE
Structure: optimized geometry

Properties
* size of the total moment: 0.0 μB/f.u.
* mass density: 8.0 g/cm³
* electronic total energy: -42.1 eV/cell
* E_form: -289 meV/atom

abc: 4.1452 19.9585 3.3749
angles: 90.00 90.00 90.00
Closest atoms and distances in Å follow each position.
Space group Cmmm (No. 65)
Inequivalent atoms, fractional coordinates:
Er1 0.0000 0.1529 0.0000 [4 per cell]  6 Ga 2.93-3.16, 5 Zn 3.05-3.19
Zn1 0.0000 0.0000 0.0000 [2 per cell]  8 Zn 2.98, 2 Er 3.05
Zn2 0.0000 0.4344 0.5000 [4 per cell]  1 Zn 2.62
Ga1 0.0000 0.2866 0.5000 [4 per cell]  2 Ga 2.54


# 7
Compound: Pm4SnPd2
Source: Alexandria via LeMat-Bulk
Functional: PBE
Structure: optimized geometry

Properties
* size of the total moment: 0.0 μB/f.u.
* mass density: 7.9 g/cm³
* electronic total energy: -76.0 eV/cell
* E_form: -656 meV/atom

abc: 7.1132 7.1737 8.9410
angles: 107.94 107.68 103.54
Closest atoms and distances in Å follow each position.
Space group P1 (No. 1)
Inequivalent atoms, fractional coordinates:
Pm1 0.0000 0.0000 0.0000 [1 per cell]  4 Pd 2.96-3.29
Pm2 0.0073 0.5083 0.0168 [1 per cell]  4 Pd 2.96-3.30
Pm3 0.0504 0.7567 0.5876 [1 per cell]  3 Pd 2.89-3.04
Pm4 0.3212 0.1489 0.4524 [1 per cell]  3 Pd 2.87-3.14
Pm5 0.4505 0.6113 0.8546 [1 per cell]  3 Pd 2.86-3.07, 1 Sn 3.20
Pm6 0.4705 0.6769 0.4283 [1 per cell]  3 Pd 2.89-3.04
Pm7 0.6047 0.2647 0.1624 [1 per cell]  3 Pd 2.86-3.07, 1 Sn 3.20
Pm8 0.8774 0.2052 0.5654 [1 per cell]  3 Pd 2.87-3.15, 1 Sn 3.22
Sn1 0.5716 0.0686 0.7781 [1 per cell]  1 Pd 2.92, 3 Pm 3.20-3.24
Sn2 0.8018 0.8005 0.2387 [1 per cell]  1 Pd 2.92, 3 Pm 3.20-3.24
Pd1 0.0627 0.3699 0.3330 [1 per cell]  6 Pm 2.87-3.15
Pd2 0.2405 0.2114 0.8423 [1 per cell]  5 Pm 2.86-3.07, 1 Sn 2.92
Pd3 0.4056 0.8776 0.1746 [1 per cell]  5 Pm 2.86-3.07, 1 Sn 2.92
Pd4 0.7384 0.5463 0.6837 [1 per cell]  7 Pm 2.87-3.22


# 8
Compound: H3OsO
Source: Alexandria via LeMat-Bulk
Functional: PBE
Structure: optimized geometry

Properties
* size of the total moment: 1.4 μB/f.u.
* mass density: 10.6 g/cm³
* electronic total energy: -19.5 eV/cell

abc: 3.2011 3.2011 3.2011
angles: 90.00 90.00 90.00
Closest atoms and distances in Å follow each position.
Space group Pm-3m (No. 221)
Inequivalent atoms, fractional coordinates:
H1 0.0000 0.0000 0.5000 [3 per cell]  2 O 1.60
Os1 0.5000 0.5000 0.5000 [1 per cell]  12 H 2.26
O1 0.0000 0.0000 0.0000 [1 per cell]  6 H 1.60


# 9
Compound: RbCdGeIr
Source: Alexandria via LeMat-Bulk
Functional: PBE
Structure: optimized geometry

Properties
* size of the total moment: 0.0 μB/f.u.
* mass density: 6.5 g/cm³
* electronic total energy: -32.2 eV/cell
* E_form: -186 meV/atom

abc: 4.1396 4.1396 13.7415
angles: 90.00 90.00 90.00
Closest atoms and distances in Å follow each position.
Space group P4/nmm (No. 129, origin choice 2)
Inequivalent atoms, fractional coordinates:
Rb1 0.2500 0.2500 0.2433 [2 per cell]  4 Ge 3.53, 4 Ir 3.93
Cd1 0.2500 0.7500 0.5000 [2 per cell]  4 Cd 2.93
Ge1 0.2500 0.2500 0.9005 [2 per cell]  4 Ir 2.48
Ir1 0.2500 0.7500 0.0000 [2 per cell]  4 Ge 2.48


# 10
Compound: Ba2LiHgF
Source: Alexandria via LeMat-Bulk
Functional: PBE
Structure: optimized geometry

Properties
* size of the total moment: 0.0 μB/f.u.
* mass density: 5.7 g/cm³
* ΔE_f (raw): -1.283 eV per atom
* electronic total energy: -14.3 eV/cell

abc: 5.8774 5.8774 4.2333
angles: 90.00 90.00 90.00
Closest atoms and distances in Å follow each position.
Space group P4/mmm (No. 123)
Inequivalent atoms, fractional coordinates:
Ba1 0.0000 0.5000 0.0000 [2 per cell]  2 F 2.94
Li1 0.0000 0.0000 0.5000 [1 per cell]  2 F 2.12
Hg1 0.5000 0.5000 0.5000 [1 per cell]  8 Ba 3.62
F1 0.0000 0.0000 0.0000 [1 per cell]  2 Li 2.12


# 11
Compound: Na2LiRhBr6
Source: Alexandria via LeMat-Bulk
Functional: PBE
Structure: optimized geometry

Properties
* size of the total moment: 0.0 μB/f.u.
* mass density: 3.6 g/cm³
* ΔE_f (raw): -1.069 eV per atom
* electronic total energy: -97.9 eV/cell

abc: 6.8946 6.8946 21.1288
angles: 90.00 90.00 120.00
Closest atoms and distances in Å follow each position.
Space group R3 (No. 146, hexagonal axes)
Inequivalent atoms, fractional coordinates:
Na1 0.0000 0.0000 0.0000 [3 per cell]  6 Br 2.90-2.91
Na2 0.0000 0.0000 0.4954 [3 per cell]  6 Br 2.97-3.04
Li1 0.0000 0.0000 0.3287 [3 per cell]  6 Br 2.72-2.84
Rh1 0.0000 0.0000 0.6687 [3 per cell]  6 Br 2.53
Br1 0.0390 0.3594 0.4041 [9 per cell]  1 Rh 2.53
Br2 0.0457 0.6825 0.2645 [9 per cell]  1 Rh 2.53, 1 Li 2.72


# 12
Compound: SrLaIrI
Source: Alexandria via LeMat-Bulk
Functional: PBE
Structure: optimized geometry

Properties
* size of the total moment: 0.0 μB/f.u.
* mass density: 6.8 g/cm³
* ΔE_f (raw): -0.924 eV per atom
* electronic total energy: -62.1 eV/cell

abc: 4.2956 4.2956 24.9801
angles: 90.00 90.00 120.00
Closest atoms and distances in Å follow each position.
Space group R3m (No. 160, hexagonal axes)
Inequivalent atoms, fractional coordinates:
Sr1 0.0000 0.0000 0.0000 [3 per cell]  3 Ir 3.09
La1 0.0000 0.0000 0.7938 [3 per cell]  3 Ir 2.81
Ir1 0.0000 0.0000 0.4074 [3 per cell]  3 La 2.81, 3 Sr 3.09
I1 0.0000 0.0000 0.2302 [3 per cell]  3 La 3.57, 3 Sr 3.58


# 13
Compound: AcLuCdOs
Source: Alexandria via LeMat-Bulk
Functional: PBE
Structure: optimized geometry

Properties
* size of the total moment: 0.0 μB/f.u.
* mass density: 11.8 g/cm³
* electronic total energy: -82.9 eV/cell
* E_form: 11 meV/atom

abc: 7.3550 7.3550 7.3550
angles: 90.00 90.00 90.00
Closest atoms and distances in Å follow each position.
Space group F-43m (No. 216)
Inequivalent atoms, fractional coordinates:
Ac1 0.0000 0.0000 0.0000 [4 per cell]  4 Cd 3.18, 4 Os 3.18
Lu1 0.0000 0.0000 0.5000 [4 per cell]  4 Cd 3.18, 4 Os 3.18
Cd1 0.2500 0.2500 0.2500 [4 per cell]  4 Ac 3.18, 4 Lu 3.18
Os1 0.2500 0.2500 0.7500 [4 per cell]  4 Ac 3.18, 4 Lu 3.18


# 14
Compound: Li2SbH
Source: Alexandria via LeMat-Bulk
Functional: PBE
Structure: optimized geometry

Properties
* size of the total moment: 0.0 μB/f.u.
* mass density: 3.6 g/cm³
* electronic total energy: -37.8 eV/cell

abc: 3.2106 3.2106 20.9139
angles: 90.00 90.00 120.00
Closest atoms and distances in Å follow each position.
Space group R3m (No. 160, hexagonal axes)
Inequivalent atoms, fractional coordinates:
Li1 0.0000 0.0000 0.0000 [3 per cell]  3 H 2.16
Li2 0.0000 0.0000 0.2229 [3 per cell]  3 H 2.21
Sb1 0.0000 0.0000 0.4431 [3 per cell]  6 Li 2.95-3.01, 6 Sb 3.21
H1 0.0000 0.0000 0.6135 [3 per cell]  6 Li 2.16-2.21


# 15
Compound: CuNiMo2
Source: Alexandria via LeMat-Bulk
Functional: PBE
Structure: optimized geometry

Properties
* size of the total moment: 0.1 μB/f.u.
* mass density: 9.5 g/cm³
* electronic total energy: -30.4 eV/cell
* E_form: 286 meV/atom

abc: 4.6169 4.6169 2.5850
angles: 90.00 90.00 90.00
Closest atoms and distances in Å follow each position.
Space group P4/mmm (No. 123)
Inequivalent atoms, fractional coordinates:
Cu1 0.0000 0.0000 0.0000 [1 per cell]  2 Cu 2.59, 8 Mo 2.65
Ni1 0.5000 0.5000 0.0000 [1 per cell]  2 Ni 2.59, 8 Mo 2.65
Mo1 0.0000 0.5000 0.5000 [2 per cell]  2 Mo 2.59, 4 Ni 2.65, 4 Cu 2.65


# 16
Compound: CoTePb2
Source: Alexandria via LeMat-Bulk
Functional: PBE
Structure: optimized geometry

Properties
* size of the total moment: 1.5 μB/f.u.
* mass density: 9.6 g/cm³
* ΔE_f (raw): 0.523 eV per atom
* electronic total energy: -15.6 eV/cell

abc: 4.2372 4.6596 5.2530
angles: 90.00 90.00 90.00
Closest atoms and distances in Å follow each position.
Space group Pmmm (No. 47)
Inequivalent atoms, fractional coordinates:
Co1 0.0000 0.0000 0.0000 [1 per cell]  4 Te 3.15, 8 Pb 3.37-3.51
Te1 0.5000 0.5000 0.0000 [1 per cell]  4 Co 3.15, 8 Pb 3.37-3.51
Pb1 0.0000 0.5000 0.5000 [1 per cell]  4 Pb 3.15, 4 Te 3.37, 4 Co 3.51
Pb2 0.5000 0.0000 0.5000 [1 per cell]  4 Pb 3.15, 4 Co 3.37, 4 Te 3.51


# 17
Compound: FeSiSe2
Source: Alexandria via LeMat-Bulk
Functional: PBE
Structure: optimized geometry

Properties
* size of the total moment: 2.5 μB/f.u.
* mass density: 5.6 g/cm³
* ΔE_f (raw): 0.291 eV per atom
* electronic total energy: -39.4 eV/cell

abc: 5.1426 5.1426 5.4307
angles: 90.00 90.00 90.00
Closest atoms and distances in Å follow each position.
Space group I4/mmm (No. 139)
Inequivalent atoms, fractional coordinates:
Fe1 0.0000 0.0000 0.0000 [2 per cell]  4 Se 2.57, 2 Si 2.72
Si1 0.0000 0.0000 0.5000 [2 per cell]  4 Se 2.57, 2 Fe 2.72
Se1 0.0000 0.5000 0.0000 [4 per cell]  2 Si 2.57, 2 Fe 2.57, 2 Se 2.72


no.,V (Å³ per cell)
1,184
2,119
3,400
4,549
5,68
6,279
7,386
8,33
9,235
10,146
11,870
12,399
13,398
14,187
15,55
16,104
17,144